Density functional theory data (GGA-PBE) for a relaxed structure of Pu2ThPd.

Values from the calculation:
As for the volume: 106.7 Å³ per cell. Its space group is R-3m, No. 166. As for the final energy: -10.130 eV/atom. The energy of formation is 18.3 kJ/mol of atoms.

Unit cell a=3.361 b=3.361 c=11.072 alpha=81.27 beta=81.27 gamma=60.00
Site moments in Bohr magnetons follow the coordinates.
Fractional coordinates of all 4 atoms:
Pd (0.500, 0.500, 0.500)  -0.01
Th (0.000, 0.000, 0.000)  -0.10
Pu (0.099, 0.099, 0.704)  -5.58
Pu (0.901, 0.901, 0.296)  -5.58